Record 1
{"formula": "NaSmSc2S4", "functional": "GGA-PBE", "state": "optimized geometry", "lattice_angstrom": [[-1.0280, 3.5629, 0.8151], [-5.7443, -0.9407, -3.1328], [-0.7647, -1.7053, 6.4897]], "species": ["Sc", "Sc", "S", "S", "S", "S", "Na", "Sm"], "frac_coords": [[0.5000, 0.0000, 0.5000], [0.0000, 0.5000, 0.5000], [0.5000, 0.7420, 0.7263], [0.0000, 0.2398, 0.7284], [0.5000, 0.2580, 0.2737], [0.0000, 0.7602, 0.2716], [0.0000, 0.0000, 0.0000], [0.5000, 0.5000, 0.0000]], "crystal_system": "monoclinic", "final_energy_ev_per_atom": -6.2435, "magnetic_moment_mub_per_cell": 0.00, "spacegroup": "No. 10", "raw_formation_energy_kj_per_mol_atoms": -178}

Record 2
{"formula": "Na3Sm2ScS6", "functional": "GGA-PBE", "state": "optimized geometry", "lattice_angstrom": [[6.8925, -0.0024, -0.0014], [-3.4466, 5.9689, -0.0014], [-1.1510, -1.9929, 6.6793]], "species": ["Sm", "Sm", "S", "S", "S", "S", "S", "S", "Sc", "Na", "Na", "Na"], "frac_coords": [[0.3335, 0.6666, 0.0000], [0.6666, 0.3335, 0.0000], [0.9246, 0.6083, 0.7737], [0.7594, 0.7594, 0.2239], [0.2406, 0.2406, 0.7761], [0.6083, 0.9246, 0.7737], [0.3917, 0.0754, 0.2263], [0.0754, 0.3917, 0.2263], [0.0000, 0.0000, 0.0000], [0.5000, 0.5000, 0.5000], [0.8332, 0.1668, 0.5000], [0.1668, 0.8332, 0.5000]], "crystal_system": "monoclinic", "final_energy_ev_per_atom": -5.4859, "magnetic_moment_mub_per_cell": 0.00, "spacegroup": "No. 12", "raw_formation_energy_kj_per_mol_atoms": -172}

Record 3
{"formula": "Na4SmSc3S8", "functional": "GGA-PBE", "state": "optimized geometry", "lattice_angstrom": [[-7.3152, -1.7008, 1.7320], [2.1715, -7.4812, 1.8251], [3.5361, 5.8619, 3.5422]], "species": ["Na", "Na", "Na", "Na", "S", "S", "S", "S", "S", "S", "S", "S", "Sm", "Sc", "Sc", "Sc"], "frac_coords": [[0.0000, 0.0000, 0.0000], [0.5000, 0.0000, 0.0000], [0.0000, 0.0000, 0.5000], [0.5000, 0.0000, 0.5000], [0.2483, 0.7202, 0.4967], [0.7517, 0.2798, 0.5033], [0.7511, 0.2781, 0.0259], [0.2489, 0.7219, 0.9741], [0.2620, 0.2861, 0.5240], [0.7252, 0.7219, 0.9741], [0.7380, 0.7139, 0.4760], [0.2748, 0.2781, 0.0259], [0.0000, 0.5000, 0.0000], [0.5000, 0.5000, 0.0000], [0.5000, 0.5000, 0.5000], [0.0000, 0.5000, 0.5000]], "crystal_system": "monoclinic", "final_energy_ev_per_atom": -5.6245, "magnetic_moment_mub_per_cell": 0.00, "spacegroup": "No. 12", "raw_formation_energy_kj_per_mol_atoms": -169}

Record 4
{"formula": "NaScTa2S", "functional": "GGA-PBE", "state": "optimized geometry", "lattice_angstrom": [[4.9229, 0.0000, 0.0000], [0.0000, 4.9532, 0.0000], [0.0000, 0.0000, 4.9229]], "species": ["Na", "Ta", "Ta", "Sc", "S"], "frac_coords": [[0.5000, 0.5000, 0.5000], [0.5000, 0.0000, 0.0000], [0.0000, 0.0000, 0.5000], [0.0000, 0.0000, 0.0000], [0.0000, 0.5000, 0.0000]], "crystal_system": "tetragonal", "final_energy_ev_per_atom": -5.6680, "magnetic_moment_mub_per_cell": 0.00, "spacegroup": "No. 123", "raw_formation_energy_kj_per_mol_atoms": 138}

Record 5
{"formula": "Na2Sc2TaS6", "functional": "GGA-PBE", "state": "optimized geometry", "lattice_angstrom": [[6.2971, -0.0068, 0.0506], [-3.1183, 5.4708, 0.0506], [-1.1394, -1.9584, 6.7933]], "species": ["S", "S", "S", "S", "S", "S", "Na", "Na", "Sc", "Sc", "Ta"], "frac_coords": [[0.0732, 0.3945, 0.7133], [0.9268, 0.6055, 0.2867], [0.3945, 0.0732, 0.7133], [0.2490, 0.2490, 0.2870], [0.7510, 0.7510, 0.7130], [0.6055, 0.9268, 0.2867], [0.8304, 0.1696, 0.0000], [0.1696, 0.8304, 0.0000], [0.6666, 0.3334, 0.5000], [0.3334, 0.6666, 0.5000], [0.0000, 0.0000, 0.5000]], "crystal_system": "monoclinic", "final_energy_ev_per_atom": -6.2150, "magnetic_moment_mub_per_cell": 0.00, "spacegroup": "No. 12", "raw_formation_energy_kj_per_mol_atoms": -144}

Record 6
{"formula": "Na4Sc3TaS8", "functional": "GGA-PBE", "state": "optimized geometry", "lattice_angstrom": [[-2.8973, -4.9825, -4.6372], [6.2277, 0.8818, -4.8384], [1.3326, -1.8363, 7.0409]], "species": ["S", "S", "S", "S", "S", "S", "S", "S", "Na", "Na", "Na", "Na", "Sc", "Sc", "Sc", "Ta"], "frac_coords": [[0.2520, 0.2831, 0.0175], [0.7397, 0.7189, 0.4794], [0.7655, 0.2831, 0.5309], [0.2345, 0.7169, 0.9825], [0.7655, 0.2831, 0.0175], [0.2603, 0.2811, 0.5206], [0.2345, 0.7169, 0.4691], [0.7480, 0.7169, 0.9825], [0.0000, 0.0000, 0.5000], [0.5000, 0.0000, 0.5000], [0.0000, 0.0000, 0.0000], [0.5000, 0.0000, 0.0000], [0.5000, 0.5000, 0.5000], [0.0000, 0.5000, 0.5000], [0.5000, 0.5000, 0.0000], [0.0000, 0.5000, 0.0000]], "crystal_system": "trigonal", "final_energy_ev_per_atom": -5.8535, "magnetic_moment_mub_per_cell": 0.02, "spacegroup": "No. 166", "raw_formation_energy_kj_per_mol_atoms": -148}

Number 1: volume 20.07 A^3/atom. Number 2: volume 22.89 A^3/atom. Number 3: volume 21.38 A^3/atom. Number 4: volume 24.01 A^3/atom. Number 5: volume 21.38 A^3/atom. Number 6: volume 19.80 A^3/atom.